No. 1
! Li2CuBiO4 | Alexandria via LeMat-Bulk | PBE-GGA | relaxed; values from VASP
! **Energy above the lowest structure with this stoichiometry**: 6.5 kJ/mol of formula units
! **Space group**: Pmn2_1 (31)
&SYSTEM
  ibrav = 0, nat = 16, ntyp = 4
/
ATOMIC_SPECIES
Li 6.94 Li.upf
Cu 63.55 Cu.upf
Bi 208.98 Bi.upf
O 16.00 O.upf
CELL_PARAMETERS angstrom
6.919 0.000 0.000
0.000 5.592 0.000
0.000 0.000 5.343
ATOMIC_POSITIONS crystal
Li 0.248 0.179 0.000
Li 0.252 0.821 0.500
Li 0.748 0.821 0.500
Li 0.752 0.179 0.000
Cu 0.000 0.707 0.012
Cu 0.500 0.293 0.512
Bi 0.000 0.309 0.504
Bi 0.500 0.691 0.004
O 0.000 0.351 0.900
O 0.000 0.667 0.380
O 0.234 0.842 0.873
O 0.266 0.158 0.373
O 0.500 0.333 0.880
O 0.500 0.649 0.400
O 0.734 0.158 0.373
O 0.766 0.842 0.873

No. 2
! LiLaCd2 | Alexandria via LeMat-Bulk | PBE-GGA | relaxed; values from VASP
! **Space group**: I-42d (122)
! **Formation energy from the elements**: 31 meV/atom
&SYSTEM
  ibrav = 0, nat = 16, ntyp = 3
/
ATOMIC_SPECIES
Li 6.94 Li.upf
La 138.91 La.upf
Cd 112.41 Cd.upf
CELL_PARAMETERS angstrom
4.864 0.000 0.000
0.000 4.864 0.000
0.000 0.000 19.663
ATOMIC_POSITIONS crystal
Li 0.000 0.000 0.000
Li 0.000 0.500 0.250
Li 0.500 0.000 0.750
Li 0.500 0.500 0.500
La 0.000 0.000 0.500
La 0.000 0.500 0.750
La 0.500 0.000 0.250
La 0.500 0.500 0.000
Cd 0.143 0.250 0.125
Cd 0.250 0.643 0.375
Cd 0.250 0.857 0.875
Cd 0.357 0.250 0.625
Cd 0.643 0.750 0.625
Cd 0.750 0.143 0.875
Cd 0.750 0.357 0.375
Cd 0.857 0.750 0.125

No. 3
! K2ScRe3O12 | Alexandria via LeMat-Bulk | PBE-GGA | relaxed; values from VASP
! **Space group**: R-3m (166)
&SYSTEM
  ibrav = 0, nat = 18, ntyp = 4
/
ATOMIC_SPECIES
K 39.10 K.upf
Sc 44.96 Sc.upf
Re 186.21 Re.upf
O 16.00 O.upf
CELL_PARAMETERS angstrom
3.670 2.119 6.076
-3.670 2.119 6.076
0.000 -4.238 6.076
ATOMIC_POSITIONS crystal
K 0.118 0.118 0.118
K 0.882 0.882 0.882
Sc 0.500 0.500 0.500
Re 0.000 0.500 0.500
Re 0.500 0.000 0.500
Re 0.500 0.500 0.000
O 0.167 0.565 0.565
O 0.190 0.190 0.567
O 0.190 0.567 0.190
O 0.433 0.810 0.810
O 0.435 0.435 0.833
O 0.435 0.833 0.435
O 0.565 0.167 0.565
O 0.565 0.565 0.167
O 0.567 0.190 0.190
O 0.810 0.433 0.810
O 0.810 0.810 0.433
O 0.833 0.435 0.435

VASP energy (computed, eV per atom): -5.1482, -2.1364, -7.7650